Crystalline Fe2SiPt5 at its relaxed geometry, computed with PBE.

```
Fe2SiPt5
1.0
-0.598 3.166 2.474
-0.665 -3.403 4.194
10.385 0.414 1.982
Fe Si Pt
4 2 10
Cartesian
3.144 0.644 3.272
5.978 -0.466 5.377
8.428 1.319 3.685
0.694 -1.142 4.965
5.193 0.207 0.991
-0.332 -1.701 2.097
0.495 0.579 2.714
8.628 -0.402 5.936
3.360 -0.995 5.421
5.763 1.172 3.229
6.975 -2.937 5.445
2.746 -0.052 0.730
7.669 -1.221 3.417
2.051 -1.768 2.758
4.860 -1.494 3.088
0.000 0.000 0.000
```

Output
raw formation energy	-2.584	eV per formula unit
DFT total energy	-6.892	eV/atom
DOS(E_F)	1.04	states/eV/atom
calculated volume	14.62	A^3/atom